(1)
## SiTcBrN2 (PBE)

Data for a relaxed structure of SiTcBrN2.

a = 3.8383 Å, b = 3.8383 Å, c = 5.3466 Å
α = 90.00°, β = 90.00°, γ = 90.00°
Space group P4/mmm (No. 123)
Inequivalent atoms, fractional coordinates:
Si 0.0000 0.0000 0.0000 x1
Tc 0.0000 0.0000 0.5000 x1
Br 0.5000 0.5000 0.0000 x1
N 0.0000 0.5000 0.5000 x2

Computed properties:
crystal system = tetragonal
spin magnetization = 0.000 Bohr magnetons per cell
ρ = 4.933 g cm⁻³
electronic total energy = -6.26 eV per atom

=====

(2)
## Ho4Se2S5 (PBE)

Data for a relaxed structure of Ho4Se2S5.

a = 24.0332 Å, b = 4.0489 Å, c = 5.7813 Å
α = 90.00°, β = 97.88°, γ = 90.00°
Space group C2/m (No. 12)
Inequivalent atoms, fractional coordinates:
Ho 0.0519 0.0000 0.3245 x4
Ho 0.1733 0.5000 0.0316 x4
Se 0.0775 0.0000 0.8780 x4
S 0.0000 0.5000 0.5000 x2
S 0.1615 0.0000 0.3622 x4
S 0.2164 0.0000 0.7897 x4

Computed properties:
crystal system = monoclinic
spin magnetization = 0.000 Bohr magnetons per cell
ρ = 5.828 g cm⁻³
electronic total energy = -5.63 eV per atom

=====

(3)
## Ag3TePd4 (PBE)

Data for a relaxed structure of Ag3TePd4.

a = 5.4162 Å, b = 7.2059 Å, c = 9.0780 Å
α = 90.00°, β = 90.00°, γ = 90.00°
Space group Imm2 (No. 44)
Inequivalent atoms, fractional coordinates:
Ag 0.0000 0.0000 0.0000 x2
Ag 0.2496 0.0000 0.7207 x4
Te 0.0000 0.5000 0.6892 x2
Pd 0.0000 0.3096 0.4563 x4
Pd 0.2485 0.0000 0.4233 x4

Computed properties:
crystal system = orthorhombic
spin magnetization = 0.000 Bohr magnetons per cell
ρ = 8.220 g cm⁻³
electronic total energy = -3.80 eV per atom

=====

(4)
## Te2PdI (PBE)

Data for a relaxed structure of Te2PdI.

a = 6.6133 Å, b = 11.4200 Å, c = 6.8048 Å
α = 90.00°, β = 90.00°, γ = 90.00°
Space group Pna2_1 (No. 33)
Inequivalent atoms, fractional coordinates:
Te 0.0241 0.0150 0.0000 x4
Te 0.2470 0.3105 0.8748 x4
Pd 0.1151 0.6100 0.4919 x4
I 0.0109 0.6137 0.9031 x4

Computed properties:
crystal system = orthorhombic
spin magnetization = 0.000 Bohr magnetons per cell
ρ = 6.314 g cm⁻³
electronic total energy = -3.40 eV per atom

=====

(5)
## TlZnPb2 (PBE)

Data for a relaxed structure of TlZnPb2.

a = 5.0243 Å, b = 5.0243 Å, c = 4.4118 Å
α = 90.00°, β = 90.00°, γ = 90.00°
Space group P4/mmm (No. 123)
Inequivalent atoms, fractional coordinates:
Tl 0.0000 0.0000 0.0000 x1
Zn 0.5000 0.5000 0.0000 x1
Pb 0.0000 0.5000 0.5000 x2

Computed properties:
crystal system = tetragonal
spin magnetization = 0.000 Bohr magnetons per cell
ΔE_f = 0.13 eV per atom
ρ = 10.201 g cm⁻³
electronic total energy = -2.63 eV per atom

=====

(6)
## Zn2Ag2Pt (PBE)

Data for a relaxed structure of Zn2Ag2Pt.

a = 7.4775 Å, b = 7.4775 Å, c = 2.9007 Å
α = 90.00°, β = 90.00°, γ = 90.00°
Space group P4/mbm (No. 127)
Inequivalent atoms, fractional coordinates:
Zn 0.1689 0.3311 0.0000 x4
Ag 0.1319 0.6319 0.5000 x4
Pt 0.0000 0.0000 0.5000 x2

Computed properties:
crystal system = tetragonal
spin magnetization = 0.000 Bohr magnetons per cell
ΔE_f = 0.02 eV per atom
ρ = 11.091 g cm⁻³
electronic total energy = -2.84 eV per atom